(1)
{
  "formula": "Eu3PbCl",
  "functional": "PBE",
  "state": "optimized geometry",
  "cell": [[5.495, 0.000, 0.000], [0.000, 5.495, 0.000], [0.000, 0.000, 5.495]],
  "species": ["Eu", "Eu", "Eu", "Cl", "Pb"],
  "fractional_positions": [[0.500, 0.000, 0.000], [0.000, 0.500, 0.000], [0.000, 0.000, 0.500], [0.000, 0.000, 0.000], [0.500, 0.500, 0.500]],
  "energy_ev_per_cell": -40.44,
  "e_form_raw_ev_per_atom": -0.81
}

(2)
{
  "formula": "ZnSb2",
  "functional": "PBE",
  "state": "optimized geometry",
  "cell": [[-2.172, -0.563, 2.433], [3.217, -0.609, 0.480], [1.039, 7.610, 2.690]],
  "species": ["Zn", "Sb", "Sb"],
  "fractional_positions": [[0.000, 0.000, 0.000], [0.333, 0.667, 0.273], [0.667, 0.333, 0.727]],
  "energy_ev_per_cell": -8.93,
  "e_form_raw_ev_per_atom": 0.20
}